1.
Material: TbHo5Zn4
Method: DFT, PBE
State: optimized geometry

DFT formation energy = -0.271 eV/atom

Structure (CIF):
```
data_TbHo5Zn4
_cell_length_a 3.550
_cell_length_b 3.550
_cell_length_c 19.284
_cell_angle_alpha 90.00
_cell_angle_beta 90.00
_cell_angle_gamma 90.00
_space_group_name_H-M_alt 'P 4/m m m'
_space_group_IT_number 123
_space_group_name_Hall '-P 4 2'
loop_
_atom_site_label
_atom_site_fract_x
_atom_site_fract_y
_atom_site_fract_z
Tb1 0.000 0.000 0.000
Ho1 0.500 0.500 0.132
Ho2 0.500 0.500 0.316
Ho3 0.500 0.500 0.500
Zn1 0.000 0.000 0.224
Zn2 0.000 0.000 0.407
```

2.
Material: Tb6HoZn2
Method: DFT, PBE
State: optimized geometry

DFT formation energy = -0.144 eV/atom

Structure (CIF):
```
data_Tb6HoZn2
_cell_length_a 12.469
_cell_length_b 3.628
_cell_length_c 11.763
_cell_angle_alpha 90.00
_cell_angle_beta 109.41
_cell_angle_gamma 90.00
_space_group_name_H-M_alt 'C 1 2/m 1'
_space_group_IT_number 12
loop_
_space_group_symop_operation_xyz
'x,y,z'
'-x,-y,-z'
'-x,y,-z'
'x,-y,z'
'x+1/2,y+1/2,z'
'-x+1/2,-y+1/2,-z'
'-x+1/2,y+1/2,-z'
'x+1/2,-y+1/2,z'
loop_
_atom_site_label
_atom_site_fract_x
_atom_site_fract_y
_atom_site_fract_z
Tb1 0.024 0.000 0.329
Tb2 0.187 0.500 0.590
Tb3 0.190 0.500 0.876
Ho1 0.000 0.000 0.000
Zn1 0.146 0.500 0.201
```

3.
Material: TbHo3Zn
Method: DFT, PBE
State: optimized geometry

DFT formation energy = 0.059 eV/atom

Structure (CIF):
```
data_TbHo3Zn
_cell_length_a 11.421
_cell_length_b 8.395
_cell_length_c 7.678
_cell_angle_alpha 90.00
_cell_angle_beta 124.56
_cell_angle_gamma 90.00
_space_group_name_H-M_alt 'C 1 2/m 1'
_space_group_IT_number 12
loop_
_space_group_symop_operation_xyz
'x,y,z'
'-x,-y,-z'
'-x,y,-z'
'x,-y,z'
'x+1/2,y+1/2,z'
'-x+1/2,-y+1/2,-z'
'-x+1/2,y+1/2,-z'
'x+1/2,-y+1/2,z'
loop_
_atom_site_label
_atom_site_fract_x
_atom_site_fract_y
_atom_site_fract_z
Tb1 0.082 0.000 0.272
Ho1 0.048 0.500 0.310
Ho2 0.189 0.202 0.714
Zn1 0.233 0.000 0.064
```

4.
Material: Tb4HoZn5
Method: DFT, PBE
State: optimized geometry

DFT formation energy = -0.337 eV/atom

Structure (CIF):
```
data_Tb4HoZn5
_cell_length_a 3.579
_cell_length_b 3.579
_cell_length_c 17.859
_cell_angle_alpha 90.00
_cell_angle_beta 90.00
_cell_angle_gamma 90.00
_space_group_name_H-M_alt 'P 4/m m m'
_space_group_IT_number 123
_space_group_name_Hall '-P 4 2'
loop_
_atom_site_label
_atom_site_fract_x
_atom_site_fract_y
_atom_site_fract_z
Tb1 0.000 0.000 0.100
Tb2 0.000 0.000 0.301
Ho1 0.000 0.000 0.500
Zn1 0.500 0.500 0.000
Zn2 0.500 0.500 0.200
Zn3 0.500 0.500 0.402
```

| no. | volume (Å³/atom) |
| --- | --- |
| 1 | 24.3 |
| 2 | 27.9 |
| 3 | 30.3 |
| 4 | 22.9 |